P) Here is Cd2TcIr after structural relaxation from Alexandria via LeMat-Bulk. Energies are from PBE-GGA.

The structure belongs to space group Immm (No. 71); the cell edges are 2.892, 4.851 and 9.803 Å and the angles 90.00°, 90.00° and 90.00°. The asymmetric unit holds Cd at (0.000, 0.000, 0.244), Tc at (0.000, 0.500, 0.000) and Ir at (0.000, 0.500, 0.500).

The crystal system is orthorhombic. For the mass density, the calculation gives 12.44 g cm⁻³. The total magnetization comes out at 1.4 μB/cell.

---

Q) Here is Cd2TcIr after structural relaxation from Alexandria via LeMat-Bulk. Energies are from PBE-GGA.

The structure belongs to space group R-3m (No. 166, hexagonal axes); the cell edges are 2.8805, 2.8805 and 28.3678 Å and the angles 90.00°, 90.00° and 120.00°. The asymmetric unit holds Cd at (0.0000, 0.0000, 0.2491), Tc at (0.0000, 0.0000, 0.0000) and Ir at (0.0000, 0.0000, 0.5000).

The crystal system is trigonal. For the mass density, the calculation gives 12.59 g cm⁻³. The total magnetization comes out at 0.2 μB/cell.

---

It is Q) that is most stable; the runner-up trails by 15 meV/atom.

---

P) Here is Cd2TcIr after structural relaxation from Alexandria via LeMat-Bulk. Energies are from PBE-GGA.

The structure belongs to space group I-42d (No. 122); the cell edges are 7.631, 7.631 and 5.254 Å and the angles 90.00°, 90.00° and 90.00°. The asymmetric unit holds Cd at (0.241, 0.250, 0.125), Tc at (0.000, 0.000, 0.500) and Ir at (0.000, 0.000, 0.000).

The crystal system is tetragonal. For the mass density, the calculation gives 11.18 g cm⁻³. The total magnetization comes out at 5.3 μB/cell.

---

Q) Here is Cd2TcIr after structural relaxation from Alexandria via LeMat-Bulk. Energies are from PBE-GGA.

The structure belongs to space group Cm (No. 8); the cell edges are 9.252, 2.869 and 5.238 Å and the angles 90.00°, 98.54° and 90.00°. The asymmetric unit holds Cd at (0.000, 0.000, 0.000), Cd at (0.242, 0.000, 0.763), Tc at (0.254, 0.500, 0.293) and Ir at (0.490, 0.000, 0.468).

The crystal system is monoclinic. For the mass density, the calculation gives 12.44 g cm⁻³. The total magnetization comes out at 0.0 μB/cell.

---

It is Q) that is most stable; the runner-up trails by 582 meV/atom.

---

P) Here is CdTcIr after structural relaxation from Alexandria via LeMat-Bulk. Energies are from PBE-GGA.

The structure belongs to space group I4mm (No. 107); the cell edges are 2.843, 2.843 and 12.147 Å and the angles 90.00°, 90.00° and 90.00°. The asymmetric unit holds Cd at (0.000, 0.000, 0.000), Tc at (0.000, 0.000, 0.683) and Ir at (0.000, 0.000, 0.319).

The crystal system is tetragonal. For the mass density, the calculation gives 13.61 g cm⁻³. The total magnetization comes out at 0.6 μB/cell.

---

Q) Here is CdTcIr after structural relaxation from Alexandria via LeMat-Bulk. Energies are from PBE-GGA.

The structure belongs to space group P3m1 (No. 156); the cell edges are 2.8102, 2.8102 and 7.1012 Å and the angles 90.00°, 90.00° and 120.00°. The asymmetric unit holds Cd at (0.0000, 0.0000, 0.0000), Tc at (0.3333, 0.6667, 0.6466) and Ir at (0.6667, 0.3333, 0.3549).

The crystal system is trigonal. For the mass density, the calculation gives 13.77 g cm⁻³. The total magnetization comes out at 0.0 μB/cell.

---

It is P) that is most stable; the runner-up trails by 78 meV/atom.

---

P) Here is CdTeIr2 after structural relaxation from Alexandria via LeMat-Bulk. Energies are from PBE-GGA.

The structure belongs to space group P4mm (No. 99); the cell edges are 3.043, 3.043 and 8.428 Å and the angles 90.00°, 90.00° and 90.00°. The asymmetric unit holds Cd at (0.000, 0.000, 0.000), Te at (0.500, 0.500, 0.644), Ir at (0.000, 0.000, 0.430) and Ir at (0.500, 0.500, 0.223).

The crystal system is tetragonal. For the mass density, the calculation gives 13.29 g cm⁻³. The total magnetization comes out at 0.0 μB/cell.

---

Q) Here is CdTeIr2 after structural relaxation from Alexandria via LeMat-Bulk. Energies are from PBE-GGA.

The structure belongs to space group R-3m (No. 166, hexagonal axes); the cell edges are 3.0966, 3.0966 and 26.2200 Å and the angles 90.00°, 90.00° and 120.00°. The asymmetric unit holds Cd at (0.0000, 0.0000, 0.0000), Te at (0.0000, 0.0000, 0.5000) and Ir at (0.0000, 0.0000, 0.2462).

The crystal system is trigonal. For the mass density, the calculation gives 14.29 g cm⁻³. The total magnetization comes out at 0.0 μB/cell.

---

R) Here is CdTeIr2 after structural relaxation from Alexandria via LeMat-Bulk. Energies are from PBE-GGA.

The structure belongs to space group I4/mmm (No. 139); the cell edges are 4.344, 4.344 and 7.543 Å and the angles 90.00°, 90.00° and 90.00°. The asymmetric unit holds Cd at (0.000, 0.000, 0.000), Te at (0.000, 0.000, 0.500) and Ir at (0.000, 0.500, 0.250).

The crystal system is tetragonal. For the mass density, the calculation gives 14.57 g cm⁻³. The total magnetization comes out at 0.0 μB/cell.

---

S) Here is CdTeIr2 after structural relaxation from Alexandria via LeMat-Bulk. Energies are from PBE-GGA.

The structure belongs to space group Pmm2 (No. 25); the cell edges are 3.099, 4.832 and 4.945 Å and the angles 90.00°, 90.00° and 90.00°. The asymmetric unit holds Cd at (0.000, 0.000, 0.000), Te at (0.500, 0.500, 0.263), Ir at (0.000, 0.500, 0.691) and Ir at (0.500, 0.000, 0.520).

The crystal system is orthorhombic. For the mass density, the calculation gives 14.00 g cm⁻³. The total magnetization comes out at 0.0 μB/cell.

---

It is P) that is most stable; the runner-up trails by 5 meV/atom.

---

P) Here is CdTeIr2 after structural relaxation from Alexandria via LeMat-Bulk. Energies are from PBE-GGA.

The structure belongs to space group Pmmm (No. 47); the cell edges are 3.052, 4.197 and 5.890 Å and the angles 90.00°, 90.00° and 90.00°. The asymmetric unit holds Cd at (0.000, 0.000, 0.000), Te at (0.500, 0.000, 0.500) and Ir at (0.500, 0.500, 0.224).

The crystal system is orthorhombic. For the mass density, the calculation gives 13.74 g cm⁻³. The total magnetization comes out at 0.0 μB/cell.

---

Q) Here is CdTeIr2 after structural relaxation from Alexandria via LeMat-Bulk. Energies are from PBE-GGA.

The structure belongs to space group Cmmm (No. 65); the cell edges are 6.186, 7.333 and 3.161 Å and the angles 90.00°, 90.00° and 90.00°. The asymmetric unit holds Cd at (0.000, 0.000, 0.000), Te at (0.000, 0.500, 0.000) and Ir at (0.250, 0.250, 0.500).

The crystal system is orthorhombic. For the mass density, the calculation gives 14.46 g cm⁻³. The total magnetization comes out at 0.0 μB/cell.

---

R) Here is CdTeIr2 after structural relaxation from Alexandria via LeMat-Bulk. Energies are from PBE-GGA.

The structure belongs to space group P4/mmm (No. 123); the cell edges are 3.129, 3.129 and 7.357 Å and the angles 90.00°, 90.00° and 90.00°. The asymmetric unit holds Cd at (0.000, 0.000, 0.000), Te at (0.000, 0.000, 0.500) and Ir at (0.500, 0.500, 0.262).

The crystal system is tetragonal. For the mass density, the calculation gives 14.39 g cm⁻³. The total magnetization comes out at 0.0 μB/cell.

---

S) Here is CdTeIr2 after structural relaxation from Alexandria via LeMat-Bulk. Energies are from PBE-GGA.

The structure belongs to space group F-43m (No. 216); the cell edges are 6.637, 6.637 and 6.637 Å and the angles 90.00°, 90.00° and 90.00°. The asymmetric unit holds Cd at (0.000, 0.000, 0.000), Te at (0.250, 0.250, 0.250), Ir at (0.000, 0.000, 0.500) and Ir at (0.250, 0.250, 0.750).

The crystal system is cubic. For the mass density, the calculation gives 14.19 g cm⁻³. The total magnetization comes out at 0.0 μB/cell.

---

It is P) that is most stable; the runner-up trails by 8 meV/atom.